Below is a geometry-optimized HfTa2Nb6 structure, with properties calculated at the PBE-GGA level.

Unit cell a=4.537 b=4.537 c=8.727 alpha=90.00 beta=90.00 gamma=90.00
Sites, in units of the cell vectors:
Hf 0.000 0.000 0.000
Ta 0.500 0.500 0.142
Ta 0.500 0.500 0.858
Nb 0.000 0.000 0.500
Nb 0.000 0.500 0.306
Nb 0.000 0.500 0.694
Nb 0.500 0.000 0.306
Nb 0.500 0.000 0.694
Nb 0.500 0.500 0.500

- calculated total energy (eV/atom) = -10.0257


Below is a geometry-optimized PtBr2 structure, with properties calculated at the PBE-GGA level.

Unit cell a=3.324 b=3.324 c=14.139 alpha=90.00 beta=90.00 gamma=90.00
Sites, in units of the cell vectors:
Pt 0.000 0.000 0.000
Pt 0.500 0.500 0.500
Br 0.000 0.000 0.384
Br 0.000 0.000 0.616
Br 0.500 0.500 0.116
Br 0.500 0.500 0.884

- formation energy (no corrections) (meV/atom) = 575
- calculated total energy (eV/atom) = -2.5535


Below is a geometry-optimized CsMn3Sb structure, with properties calculated at the PBE-GGA level.

Unit cell a=5.245 b=5.245 c=5.245 alpha=90.00 beta=90.00 gamma=90.00
Sites, in units of the cell vectors:
Cs 0.000 0.000 0.000
Mn 0.000 0.500 0.500
Mn 0.500 0.000 0.500
Mn 0.500 0.500 0.000
Sb 0.500 0.500 0.500

- formation energy (no corrections) (meV/atom) = 976
- energy above the lowest structure with this stoichiometry (kJ/mol of formula units) = 0.0
- calculated total energy (eV/atom) = -5.5208


Below is a geometry-optimized Pm5CuRh2 structure, with properties calculated at the PBE-GGA level.

Unit cell a=8.730 b=8.730 c=8.730 alpha=126.43 beta=126.43 gamma=79.18
Sites, in units of the cell vectors:
Pm 0.000 0.000 0.000
Pm 0.025 0.525 0.828
Pm 0.197 0.025 0.500
Pm 0.303 0.803 0.828
Pm 0.475 0.303 0.500
Pm 0.500 0.500 0.000
Pm 0.525 0.697 0.500
Pm 0.697 0.197 0.172
Pm 0.803 0.975 0.500
Pm 0.975 0.475 0.172
Cu 0.250 0.250 0.000
Cu 0.750 0.750 0.000
Rh 0.135 0.365 0.500
Rh 0.365 0.865 0.230
Rh 0.635 0.135 0.770
Rh 0.865 0.635 0.500

- calculated total energy (eV/atom) = -5.7475


Below is a geometry-optimized Ac12HgIr5 structure, with properties calculated at the PBE-GGA level.

Unit cell a=7.709 b=7.709 c=14.087 alpha=95.33 beta=95.33 gamma=119.93
Sites, in units of the cell vectors:
Ac 0.039 0.371 0.111
Ac 0.097 0.097 0.379
Ac 0.178 0.540 0.621
Ac 0.297 0.297 0.889
Ac 0.371 0.039 0.111
Ac 0.460 0.822 0.379
Ac 0.540 0.178 0.621
Ac 0.629 0.961 0.889
Ac 0.703 0.703 0.111
Ac 0.822 0.460 0.379
Ac 0.903 0.903 0.621
Ac 0.961 0.629 0.889
Hg 0.500 0.500 0.500
Ir 0.000 0.000 0.000
Ir 0.167 0.833 0.500
Ir 0.333 0.667 0.000
Ir 0.667 0.333 0.000
Ir 0.833 0.167 0.500

- calculated total energy (eV/atom) = -5.7225


Below is a geometry-optimized RbCrGePt2 structure, with properties calculated at the PBE-GGA level.

Unit cell a=4.862 b=4.862 c=4.974 alpha=90.00 beta=90.00 gamma=90.00
Sites, in units of the cell vectors:
Rb 0.000 0.000 0.000
Cr 0.500 0.500 0.000
Ge 0.500 0.500 0.500
Pt 0.000 0.500 0.500
Pt 0.500 0.000 0.500

- calculated total energy (eV/atom) = -5.0812


Below is a geometry-optimized ThSc5 structure, with properties calculated at the PBE-GGA level.

Unit cell a=6.266 b=6.266 c=6.266 alpha=55.24 beta=55.24 gamma=55.24
Sites, in units of the cell vectors:
Th 0.000 0.000 0.000
Sc 0.165 0.835 0.500
Sc 0.333 0.333 0.333
Sc 0.500 0.165 0.835
Sc 0.667 0.667 0.667
Sc 0.835 0.500 0.165

- energy above the lowest structure with this stoichiometry (kJ/mol of formula units) = 0.0
- calculated total energy (eV/atom) = -6.4907


Below is a geometry-optimized Pm4TlAg2Au structure, with properties calculated at the PBE-GGA level.

Unit cell a=9.196 b=9.196 c=9.196 alpha=33.60 beta=33.60 gamma=33.60
Sites, in units of the cell vectors:
Pm 0.120 0.120 0.120
Pm 0.370 0.370 0.370
Pm 0.630 0.630 0.630
Pm 0.880 0.880 0.880
Tl 0.500 0.500 0.500
Ag 0.244 0.244 0.244
Ag 0.756 0.756 0.756
Au 0.000 0.000 0.000

- calculated total energy (eV/atom) = -4.2255


Below is a geometry-optimized BaHg2Ru structure, with properties calculated at the PBE-GGA level.

Unit cell a=5.279 b=5.279 c=18.524 alpha=90.00 beta=90.00 gamma=90.00
Sites, in units of the cell vectors:
Ba 0.000 0.000 0.000
Ba 0.000 0.500 0.250
Ba 0.500 0.000 0.750
Ba 0.500 0.500 0.500
Hg 0.095 0.250 0.625
Hg 0.250 0.595 0.875
Hg 0.250 0.905 0.375
Hg 0.405 0.250 0.125
Hg 0.595 0.750 0.125
Hg 0.750 0.095 0.375
Hg 0.750 0.405 0.875
Hg 0.905 0.750 0.625
Ru 0.000 0.000 0.500
Ru 0.000 0.500 0.750
Ru 0.500 0.000 0.250
Ru 0.500 0.500 0.000

- calculated total energy (eV/atom) = -2.6416


Below is a geometry-optimized PrNd6Tm6 structure, with properties calculated at the PBE-GGA level.

Unit cell a=6.726 b=6.726 c=11.444 alpha=90.00 beta=90.00 gamma=120.00
Sites, in units of the cell vectors:
Pr 0.000 0.000 0.000
Nd 0.000 0.000 0.346
Nd 0.000 0.000 0.654
Nd 0.333 0.667 0.000
Nd 0.333 0.667 0.500
Nd 0.667 0.333 0.000
Nd 0.667 0.333 0.500
Tm 0.000 0.500 0.247
Tm 0.000 0.500 0.753
Tm 0.500 0.000 0.247
Tm 0.500 0.000 0.753
Tm 0.500 0.500 0.247
Tm 0.500 0.500 0.753

- calculated total energy (eV/atom) = -4.3888


Below is a geometry-optimized Y4Er2TmMg structure, with properties calculated at the PBE-GGA level.

Unit cell a=4.974 b=4.969 c=9.890 alpha=90.00 beta=90.06 gamma=90.00
Sites, in units of the cell vectors:
Y 0.000 0.000 0.248
Y 0.000 0.000 0.752
Y 0.499 0.500 0.752
Y 0.501 0.500 0.248
Er 0.000 0.500 0.500
Er 0.500 0.000 0.000
Tm 0.500 0.000 0.500
Mg 0.000 0.500 0.000

- calculated total energy (eV/atom) = -5.1066


Below is a geometry-optimized Sm2Zn3Ga4Hg structure, with properties calculated at the PBE-GGA level.

Unit cell a=4.275 b=4.275 c=10.805 alpha=90.00 beta=90.00 gamma=90.00
Sites, in units of the cell vectors:
Sm 0.000 0.500 0.242
Sm 0.500 0.000 0.758
Zn 0.000 0.500 0.869
Zn 0.500 0.000 0.131
Zn 0.500 0.500 0.500
Ga 0.000 0.000 0.000
Ga 0.000 0.500 0.647
Ga 0.500 0.000 0.353
Ga 0.500 0.500 0.000
Hg 0.000 0.000 0.500

- calculated total energy (eV/atom) = -2.9873


Below is a geometry-optimized Ta2SbTe structure, with properties calculated at the PBE-GGA level.

Unit cell a=6.836 b=6.836 c=6.836 alpha=90.00 beta=90.00 gamma=90.00
Sites, in units of the cell vectors:
Ta 0.250 0.250 0.250
Ta 0.250 0.250 0.750
Ta 0.250 0.750 0.250
Ta 0.250 0.750 0.750
Ta 0.750 0.250 0.250
Ta 0.750 0.250 0.750
Ta 0.750 0.750 0.250
Ta 0.750 0.750 0.750
Sb 0.000 0.000 0.000
Sb 0.000 0.500 0.500
Sb 0.500 0.000 0.500
Sb 0.500 0.500 0.000
Te 0.000 0.000 0.500
Te 0.000 0.500 0.000
Te 0.500 0.000 0.000
Te 0.500 0.500 0.500

- formation energy (no corrections) (meV/atom) = 170
- energy above the lowest structure with this stoichiometry (kJ/mol of formula units) = 88.3
- calculated total energy (eV/atom) = -7.5722


Below is a geometry-optimized PmO2 structure, with properties calculated at the PBE-GGA level.

Unit cell a=6.708 b=4.007 c=6.494 alpha=90.00 beta=97.84 gamma=90.00
Sites, in units of the cell vectors:
Pm 0.197 0.000 0.230
Pm 0.303 0.500 0.770
Pm 0.697 0.500 0.230
Pm 0.803 0.000 0.770
O 0.080 0.500 0.429
O 0.152 0.000 0.858
O 0.348 0.500 0.142
O 0.420 0.000 0.571
O 0.580 0.000 0.429
O 0.652 0.500 0.858
O 0.848 0.000 0.142
O 0.920 0.500 0.571

- formation energy (no corrections) (meV/atom) = -2876
- calculated total energy (eV/atom) = -7.7646


Below is a geometry-optimized LiNb3Fe8 structure, with properties calculated at the PBE-GGA level.

Unit cell a=8.298 b=8.298 c=8.298 alpha=33.64 beta=33.64 gamma=33.64
Sites, in units of the cell vectors:
Li 0.000 0.000 0.000
Nb 0.370 0.370 0.370
Nb 0.497 0.497 0.497
Nb 0.878 0.878 0.878
Fe 0.186 0.186 0.186
Fe 0.436 0.436 0.934
Fe 0.436 0.934 0.436
Fe 0.436 0.936 0.936
Fe 0.686 0.686 0.686
Fe 0.934 0.436 0.436
Fe 0.936 0.436 0.936
Fe 0.936 0.936 0.436

- calculated total energy (eV/atom) = -8.3925


Below is a geometry-optimized LaTb6Pr4 structure, with properties calculated at the PBE-GGA level.

Unit cell a=9.780 b=9.780 c=9.780 alpha=139.55 beta=139.55 gamma=58.53
Sites, in units of the cell vectors:
La 0.000 0.000 0.000
Tb 0.000 0.500 0.500
Tb 0.200 0.200 0.645
Tb 0.445 0.800 0.000
Tb 0.500 0.000 0.500
Tb 0.555 0.555 0.355
Tb 0.800 0.445 0.000
Pr 0.015 0.631 0.000
Pr 0.369 0.369 0.383
Pr 0.631 0.015 0.000
Pr 0.985 0.985 0.617

- energy above the lowest structure with this stoichiometry (kJ/mol of formula units) = 0.0
- calculated total energy (eV/atom) = -4.4112


Below is a geometry-optimized In2SnPtI structure, with properties calculated at the PBE-GGA level.

Unit cell a=5.334 b=5.334 c=5.292 alpha=90.00 beta=90.00 gamma=90.00
Sites, in units of the cell vectors:
In 0.000 0.500 0.000
In 0.500 0.000 0.000
Sn 0.000 0.000 0.500
Pt 0.000 0.000 0.000
I 0.500 0.500 0.500

- formation energy (no corrections) (meV/atom) = -317
- calculated total energy (eV/atom) = -3.7310


Below is a geometry-optimized Be4Cl structure, with properties calculated at the PBE-GGA level.

Unit cell a=5.000 b=5.000 c=5.000 alpha=90.00 beta=90.00 gamma=90.00
Sites, in units of the cell vectors:
Be 0.250 0.250 0.250
Be 0.250 0.250 0.750
Be 0.250 0.750 0.250
Be 0.250 0.750 0.750
Be 0.750 0.250 0.250
Be 0.750 0.250 0.750
Be 0.750 0.750 0.250
Be 0.750 0.750 0.750
Cl 0.000 0.000 0.000
Cl 0.500 0.500 0.500

- formation energy (no corrections) (meV/atom) = 1225
- energy above the lowest structure with this stoichiometry (kJ/mol of formula units) = 0.0
- calculated total energy (eV/atom) = -2.1251


Below is a geometry-optimized MgSnAu4 structure, with properties calculated at the PBE-GGA level.

Unit cell a=5.578 b=5.578 c=5.578 alpha=60.00 beta=60.00 gamma=60.00
Sites, in units of the cell vectors:
Mg 0.000 0.000 0.000
Sn 0.250 0.250 0.250
Au 0.124 0.625 0.625
Au 0.625 0.124 0.625
Au 0.625 0.625 0.124
Au 0.625 0.625 0.625

- energy above the lowest structure with this stoichiometry (kJ/mol of formula units) = 14.8
- calculated total energy (eV/atom) = -3.2805


Below is a geometry-optimized La4Pm2Pr2Y structure, with properties calculated at the PBE-GGA level.

Unit cell a=8.277 b=8.277 c=8.252 alpha=107.70 beta=107.70 gamma=36.88
Sites, in units of the cell vectors:
La 0.055 0.055 0.334
La 0.277 0.277 0.667
La 0.723 0.723 0.333
La 0.945 0.945 0.666
Pm 0.389 0.389 0.331
Pm 0.611 0.611 0.669
Pr 0.166 0.166 0.000
Pr 0.834 0.834 0.000
Y 0.500 0.500 0.000

- calculated total energy (eV/atom) = -5.0105


Below is a geometry-optimized CaPm8Y2 structure, with properties calculated at the PBE-GGA level.

Unit cell a=9.669 b=9.669 c=8.156 alpha=104.44 beta=104.44 gamma=31.00
Sites, in units of the cell vectors:
Ca 0.000 0.000 0.000
Pm 0.092 0.092 0.460
Pm 0.184 0.184 0.910
Pm 0.360 0.360 0.811
Pm 0.453 0.453 0.281
Pm 0.547 0.547 0.719
Pm 0.640 0.640 0.189
Pm 0.816 0.816 0.090
Pm 0.908 0.908 0.540
Y 0.273 0.273 0.363
Y 0.727 0.727 0.637

- calculated total energy (eV/atom) = -4.7798


Below is a geometry-optimized NaZrSb2O8 structure, with properties calculated at the PBE-GGA level.

Unit cell a=6.094 b=6.094 c=6.094 alpha=107.18 beta=107.18 gamma=114.16
Sites, in units of the cell vectors:
Na 0.000 0.000 0.000
Zr 0.250 0.750 0.500
Sb 0.500 0.500 0.000
Sb 0.750 0.250 0.500
O 0.326 0.118 0.792
O 0.326 0.535 0.208
O 0.359 0.042 0.317
O 0.465 0.674 0.792
O 0.726 0.042 0.683
O 0.882 0.674 0.208
O 0.958 0.274 0.317
O 0.958 0.641 0.683

- formation energy (no corrections) (meV/atom) = -1533
- calculated total energy (eV/atom) = -6.3483


Below is a geometry-optimized La5Ru3 structure, with properties calculated at the PBE-GGA level.

Unit cell a=11.307 b=11.307 c=6.630 alpha=90.00 beta=90.00 gamma=90.00
Sites, in units of the cell vectors:
La 0.044 0.158 0.103
La 0.044 0.342 0.603
La 0.158 0.044 0.603
La 0.158 0.456 0.103
La 0.250 0.750 0.000
La 0.250 0.750 0.500
La 0.342 0.044 0.103
La 0.342 0.456 0.603
La 0.456 0.158 0.603
La 0.456 0.342 0.103
La 0.544 0.658 0.897
La 0.544 0.842 0.397
La 0.658 0.544 0.397
La 0.658 0.956 0.897
La 0.750 0.250 0.000
La 0.750 0.250 0.500
La 0.842 0.544 0.897
La 0.842 0.956 0.397
La 0.956 0.658 0.397
La 0.956 0.842 0.897
Ru 0.100 0.600 0.750
Ru 0.100 0.900 0.250
Ru 0.250 0.250 0.357
Ru 0.250 0.250 0.857
Ru 0.400 0.600 0.250
Ru 0.400 0.900 0.750
Ru 0.600 0.100 0.250
Ru 0.600 0.400 0.750
Ru 0.750 0.750 0.143
Ru 0.750 0.750 0.643
Ru 0.900 0.100 0.750
Ru 0.900 0.400 0.250

- energy above the lowest structure with this stoichiometry (kJ/mol of formula units) = 3.3
- calculated total energy (eV/atom) = -6.8215